(1)
A relaxed structure of YCdS2Br. Source: Alexandria via LeMat-Bulk, functional PBE.

Lattice parameters (Å, degrees): 5.2683 5.2683 5.5269 90.00 90.00 90.00
Closest atoms and distances in Å follow each position.
Space group P4/mmm (No. 123)
Unique sites:
Y 0.0000 0.0000 0.0000 (multiplicity 1)  4 S 2.63, 2 Br 2.76
Cd 0.5000 0.5000 0.5000 (multiplicity 1)  4 Br 3.73, 8 S 3.82
S 0.0000 0.5000 0.0000 (multiplicity 2)  2 Y 2.63
Br 0.0000 0.0000 0.5000 (multiplicity 1)  2 Y 2.76

raw total energy: -20.85 eV/cell

(2)
A relaxed structure of CdSbBr. Source: Alexandria via LeMat-Bulk, functional PBE.

Lattice parameters (Å, degrees): 3.4134 3.4134 14.9395 90.00 90.00 90.00
Closest atoms and distances in Å follow each position.
Space group I4mm (No. 107)
Unique sites:
Cd 0.0000 0.0000 0.0000 (multiplicity 2)  4 Br 2.98, 4 Sb 3.25
Sb 0.0000 0.0000 0.3540 (multiplicity 2)  4 Cd 3.25, 4 Sb 3.41
Br 0.0000 0.0000 0.6173 (multiplicity 2)  4 Cd 2.98

raw total energy: -13.70 eV/cell

(3)
A relaxed structure of Cd4Sb2Br3. Source: Alexandria via LeMat-Bulk, functional PBE.

Lattice parameters (Å, degrees): 14.7587 13.2502 7.0416 90.00 102.03 90.00
Closest atoms and distances in Å follow each position.
Space group C2/c (No. 15)
Unique sites:
Cd 0.1105 0.0872 0.1167 (multiplicity 8)  3 Br 2.71-3.00, 1 Sb 2.73
Cd 0.1507 0.4896 0.5759 (multiplicity 8)  2 Sb 2.83-2.87, 2 Br 3.01-3.03
Sb 0.2140 0.3464 0.8802 (multiplicity 8)  3 Cd 2.73-2.87
Br 0.0000 0.4155 0.2500 (multiplicity 4)  4 Cd 3.01-3.03
Br 0.0730 0.1201 0.5148 (multiplicity 8)  3 Cd 2.71-3.00

raw total energy: -79.82 eV/cell

(4)
A relaxed structure of CdSb2Br8. Source: Alexandria via LeMat-Bulk, functional PBE.

Lattice parameters (Å, degrees): 20.0221 3.8577 10.3666 90.00 90.80 90.00
Closest atoms and distances in Å follow each position.
Space group C2/m (No. 12)
Unique sites:
Cd 0.0000 0.0000 0.0000 (multiplicity 2)  6 Br 2.76-2.88
Sb 0.1536 0.5000 0.2609 (multiplicity 4)  6 Br 2.84-2.99
Br 0.0025 0.5000 0.8092 (multiplicity 4)  2 Cd 2.76
Br 0.0991 0.0000 0.4313 (multiplicity 4)  2 Sb 2.84
Br 0.1427 0.0000 0.0418 (multiplicity 4)  1 Cd 2.88, 2 Sb 2.99
Br 0.2399 0.5000 0.7018 (multiplicity 4)  2 Sb 2.90

raw total energy: -58.38 eV/cell

(5)
A relaxed structure of Cd3SbBr3. Source: Alexandria via LeMat-Bulk, functional PBE.

Lattice parameters (Å, degrees): 8.3398 8.3398 10.2311 90.00 90.00 120.00
Closest atoms and distances in Å follow each position.
Space group R3m (No. 160, hexagonal axes)
Unique sites:
Cd 0.0006 0.5003 0.0000 (multiplicity 9)  4 Br 2.94-2.96, 2 Sb 2.95
Sb 0.0000 0.0000 0.5009 (multiplicity 3)  6 Cd 2.95
Br 0.0009 0.5005 0.5012 (multiplicity 9)  4 Cd 2.94-2.96

raw total energy: -45.50 eV/cell

(6)
A relaxed structure of CdSb2Br. Source: Alexandria via LeMat-Bulk, functional PBE.

Lattice parameters (Å, degrees): 3.5373 3.5373 29.5470 90.00 90.00 120.00
Closest atoms and distances in Å follow each position.
Space group R-3m (No. 166, hexagonal axes)
Unique sites:
Cd 0.0000 0.0000 0.0000 (multiplicity 3)  6 Sb 3.16, 6 Cd 3.54
Sb 0.0000 0.0000 0.2517 (multiplicity 6)  3 Cd 3.16, 3 Br 3.24, 6 Sb 3.54
Br 0.0000 0.0000 0.5000 (multiplicity 3)  6 Sb 3.24, 6 Br 3.54

raw total energy: -30.57 eV/cell

(7)
A relaxed structure of Cd3Sb2Br2. Source: Alexandria via LeMat-Bulk, functional PBE.

Lattice parameters (Å, degrees): 4.4234 6.9493 7.8656 94.85 93.16 107.88
Closest atoms and distances in Å follow each position.
Space group P-1 (No. 2)
Unique sites:
Cd 0.0000 0.0000 0.0000 (multiplicity 1)  4 Sb 2.84-2.91
Cd 0.3239 0.5449 0.7268 (multiplicity 2)  3 Br 2.72-3.02, 1 Sb 2.79
Sb 0.3902 0.7393 0.0578 (multiplicity 2)  3 Cd 2.79-2.91
Br 0.1230 0.2667 0.4472 (multiplicity 2)  3 Cd 2.72-3.02

raw total energy: -16.32 eV/cell

(8)
A relaxed structure of CdSb2Br. Source: Alexandria via LeMat-Bulk, functional PBE.

Lattice parameters (Å, degrees): 4.5087 4.8326 5.9210 90.00 108.77 90.00
Closest atoms and distances in Å follow each position.
Space group P2/m (No. 10)
Unique sites:
Cd 0.0000 0.0000 0.0000 (multiplicity 1)  4 Sb 2.91, 2 Br 3.09
Sb 0.1970 0.5000 0.8151 (multiplicity 2)  2 Sb 2.90-3.23, 2 Cd 2.91
Br 0.5000 0.0000 0.5000 (multiplicity 1)  2 Cd 3.09

raw total energy: -11.22 eV/cell

(9)
A relaxed structure of CdSb3Br. Source: Alexandria via LeMat-Bulk, functional PBE.

Lattice parameters (Å, degrees): 5.5463 5.5463 5.5463 90.00 90.00 90.00
Closest atoms and distances in Å follow each position.
Space group Pm-3m (No. 221)
Unique sites:
Cd 0.0000 0.0000 0.0000 (multiplicity 1)  12 Sb 3.92
Sb 0.0000 0.5000 0.5000 (multiplicity 3)  2 Br 2.77
Br 0.5000 0.5000 0.5000 (multiplicity 1)  6 Sb 2.77

raw total energy: -10.41 eV/cell

(10)
A relaxed structure of Cd3SbBr. Source: Alexandria via LeMat-Bulk, functional PBE.

Lattice parameters (Å, degrees): 7.8174 7.8174 19.6185 90.00 90.00 120.00
Closest atoms and distances in Å follow each position.
Space group R-3c (No. 167, hexagonal axes)
Unique sites:
Cd 0.0000 0.3807 0.2500 (multiplicity 18)  2 Sb 2.94, 1 Br 2.98
Sb 0.0000 0.0000 0.0000 (multiplicity 6)  6 Cd 2.94
Br 0.0000 0.0000 0.2500 (multiplicity 6)  3 Cd 2.98

raw total energy: -54.32 eV/cell

(11)
A relaxed structure of Cd3SbBr. Source: Alexandria via LeMat-Bulk, functional PBE.

Lattice parameters (Å, degrees): 5.4788 5.4788 5.4788 90.00 90.00 90.00
Closest atoms and distances in Å follow each position.
Space group Pm-3m (No. 221)
Unique sites:
Cd 0.0000 0.0000 0.5000 (multiplicity 3)  2 Br 2.74
Sb 0.5000 0.5000 0.5000 (multiplicity 1)  12 Cd 3.87
Br 0.0000 0.0000 0.0000 (multiplicity 1)  6 Cd 2.74

raw total energy: -6.17 eV/cell

(12)
A relaxed structure of CdSb2Br. Source: Alexandria via LeMat-Bulk, functional PBE.

Lattice parameters (Å, degrees): 5.2916 5.3241 7.5324 90.00 90.00 90.00
Closest atoms and distances in Å follow each position.
Space group Imm2 (No. 44)
Unique sites:
Cd 0.0000 0.0000 0.0000 (multiplicity 2)  4 Sb 3.22-3.29, 4 Br 3.25-3.26
Sb 0.0000 0.0000 0.4983 (multiplicity 2)  4 Sb 3.22-3.29, 4 Br 3.23-3.28
Sb 0.0000 0.5000 0.2569 (multiplicity 2)  4 Cd 3.22-3.29, 4 Sb 3.22-3.29
Br 0.0000 0.5000 0.7531 (multiplicity 2)  4 Sb 3.23-3.28, 4 Cd 3.25-3.26

raw total energy: -21.16 eV/cell

(13)
A relaxed structure of CdSb2Br. Source: Alexandria via LeMat-Bulk, functional PBE.

Lattice parameters (Å, degrees): 4.0444 5.9913 9.6914 90.00 90.00 90.00
Closest atoms and distances in Å follow each position.
Space group Cmm2 (No. 35)
Unique sites:
Cd 0.0000 0.0000 0.0000 (multiplicity 2)  2 Br 2.74
Sb 0.0000 0.0000 0.4648 (multiplicity 2)  2 Sb 2.98
Sb 0.0000 0.5000 0.2393 (multiplicity 2)  2 Sb 2.98, 2 Cd 3.08
Br 0.0000 0.5000 0.8094 (multiplicity 2)  2 Cd 2.74

raw total energy: -21.86 eV/cell

(14)
A relaxed structure of CdSb2Br. Source: Alexandria via LeMat-Bulk, functional PBE.

Lattice parameters (Å, degrees): 4.4852 5.4639 8.7618 90.00 90.00 90.00
Closest atoms and distances in Å follow each position.
Space group Cmmm (No. 65)
Unique sites:
Cd 0.0000 0.0000 0.0000 (multiplicity 2)  4 Sb 3.00
Sb 0.0000 0.5000 0.2267 (multiplicity 4)  2 Cd 3.00, 2 Br 3.28
Br 0.0000 0.0000 0.5000 (multiplicity 2)  8 Sb 3.28-3.63, 4 Br 3.53

raw total energy: -21.01 eV/cell

(15)
A relaxed structure of CdSb2Br. Source: Alexandria via LeMat-Bulk, functional PBE.

Lattice parameters (Å, degrees): 3.6686 3.6686 8.0774 90.00 90.00 90.00
Closest atoms and distances in Å follow each position.
Space group P4/mmm (No. 123)
Unique sites:
Cd 0.0000 0.0000 0.0000 (multiplicity 1)  8 Sb 3.10
Sb 0.5000 0.5000 0.2100 (multiplicity 2)  4 Cd 3.10, 1 Sb 3.39
Br 0.0000 0.0000 0.5000 (multiplicity 1)  8 Sb 3.49, 4 Br 3.67

raw total energy: -10.48 eV/cell

(16)
A relaxed structure of CdSb2Br8. Source: Alexandria via LeMat-Bulk, functional PBE.

Lattice parameters (Å, degrees): 10.8166 11.9873 8.1184 90.00 107.05 90.00
Closest atoms and distances in Å follow each position.
Space group C2/m (No. 12)
Unique sites:
Cd 0.0000 0.0000 0.0000 (multiplicity 2)  2 Br 2.55
Sb 0.1707 0.0000 0.5970 (multiplicity 4)  3 Br 2.51-2.62
Br 0.0875 0.5000 0.2755 (multiplicity 4)  1 Sb 2.51
Br 0.1184 0.1629 0.7805 (multiplicity 8)  1 Sb 2.62
Br 0.2203 0.0000 0.2276 (multiplicity 4)  1 Cd 2.55

raw total energy: -58.04 eV/cell

(17)
A relaxed structure of CdSb2Br. Source: Alexandria via LeMat-Bulk, functional PBE.

Lattice parameters (Å, degrees): 4.1390 4.1390 26.1753 90.00 90.00 120.00
Closest atoms and distances in Å follow each position.
Space group R3m (No. 160, hexagonal axes)
Unique sites:
Cd 0.0000 0.0000 0.0000 (multiplicity 3)  3 Br 2.87, 3 Sb 3.18
Sb 0.0000 0.0000 0.2533 (multiplicity 3)  3 Sb 2.92, 3 Cd 3.18
Sb 0.0000 0.0000 0.5223 (multiplicity 3)  3 Sb 2.92
Br 0.0000 0.0000 0.7275 (multiplicity 3)  3 Cd 2.87

raw total energy: -35.04 eV/cell

(18)
A relaxed structure of CdSbBr6. Source: Alexandria via LeMat-Bulk, functional PBE.

Lattice parameters (Å, degrees): 12.9228 12.9228 7.0521 90.00 90.00 120.00
Closest atoms and distances in Å follow each position.
Space group R-3m (No. 166, hexagonal axes)
Unique sites:
Cd 0.0000 0.0000 0.0000 (multiplicity 3)  6 Br 2.84
Sb 0.0000 0.0000 0.5000 (multiplicity 3)  6 Br 2.73
Br 0.0963 0.1926 0.7371 (multiplicity 18)  1 Sb 2.73, 1 Cd 2.84

raw total energy: -58.83 eV/cell

(19)
A relaxed structure of CdSbBr. Source: Alexandria via LeMat-Bulk, functional PBE.

Lattice parameters (Å, degrees): 7.2892 7.2892 7.2892 90.00 90.00 90.00
Closest atoms and distances in Å follow each position.
Space group F-43m (No. 216)
Unique sites:
Cd 0.0000 0.0000 0.0000 (multiplicity 4)  4 Sb 3.16
Sb 0.2500 0.2500 0.7500 (multiplicity 4)  4 Cd 3.16, 4 Br 3.16
Br 0.0000 0.0000 0.5000 (multiplicity 4)  4 Sb 3.16

raw total energy: -24.73 eV/cell

(20)
A relaxed structure of CdSbBr. Source: Alexandria via LeMat-Bulk, functional PBE.

Lattice parameters (Å, degrees): 3.6273 3.6273 7.8481 90.00 90.00 120.00
Closest atoms and distances in Å follow each position.
Space group P3m1 (No. 156)
Unique sites:
Cd 0.0000 0.0000 0.0000 (multiplicity 1)  3 Br 2.79, 3 Sb 3.10
Sb 0.6667 0.3333 0.2919 (multiplicity 1)  3 Cd 3.10
Br 0.3333 0.6667 0.7649 (multiplicity 1)  3 Cd 2.79

raw total energy: -7.26 eV/cell

(21)
A relaxed structure of CdSb2Br. Source: Alexandria via LeMat-Bulk, functional PBE.

Lattice parameters (Å, degrees): 13.6989 3.6382 5.0299 90.00 111.23 90.00
Closest atoms and distances in Å follow each position.
Space group Cm (No. 8)
Unique sites:
Cd 0.0000 0.0000 0.0000 (multiplicity 2)  4 Sb 3.18
Sb 0.2566 0.5000 0.2606 (multiplicity 2)  2 Sb 3.03, 4 Br 3.14
Sb 0.4463 0.0000 0.4471 (multiplicity 2)  2 Sb 3.03, 4 Cd 3.18
Br 0.2198 0.0000 0.7235 (multiplicity 2)  4 Sb 3.14

raw total energy: -21.23 eV/cell

(22)
A relaxed structure of CdSbBr. Source: Alexandria via LeMat-Bulk, functional PBE.

Lattice parameters (Å, degrees): 5.1311 5.1311 3.6006 90.00 90.00 120.00
Closest atoms and distances in Å follow each position.
Space group P3m1 (No. 156)
Unique sites:
Cd 0.0000 0.0000 0.0000 (multiplicity 1)  3 Sb 2.97
Sb 0.3333 0.6667 0.0709 (multiplicity 1)  3 Cd 2.97
Br 0.6667 0.3333 0.5479 (multiplicity 1)  6 Cd 3.38-3.56, 6 Sb 3.42-3.51, 2 Br 3.60

raw total energy: -6.51 eV/cell

(23)
A relaxed structure of CdSb2Br. Source: Alexandria via LeMat-Bulk, functional PBE.

Lattice parameters (Å, degrees): 6.1668 6.6453 11.2538 90.00 90.00 90.00
Closest atoms and distances in Å follow each position.
Space group Fmmm (No. 69)
Unique sites:
Cd 0.0000 0.0000 0.0000 (multiplicity 4)  4 Br 3.08-3.32, 4 Sb 3.27
Sb 0.0000 0.2500 0.2500 (multiplicity 8)  4 Sb 3.08-3.32, 2 Cd 3.27, 2 Br 3.27
Br 0.0000 0.0000 0.5000 (multiplicity 4)  4 Cd 3.08-3.32, 4 Sb 3.27

raw total energy: -42.32 eV/cell

(24)
A relaxed structure of CdSbBr. Source: Alexandria via LeMat-Bulk, functional PBE.

Lattice parameters (Å, degrees): 11.2614 11.8592 7.9996 90.00 127.44 90.00
Closest atoms and distances in Å follow each position.
Space group Cc (No. 9)
Unique sites:
Cd 0.0000 0.0585 0.0000 (multiplicity 4)  2 Br 2.68-2.75, 1 Sb 2.80
Cd 0.1442 0.2998 0.8259 (multiplicity 4)  2 Br 2.78-2.79, 2 Sb 2.83-2.91
Sb 0.2251 0.0642 0.5310 (multiplicity 4)  1 Cd 2.80, 2 Sb 2.88-2.90
Sb 0.3532 0.1237 0.9592 (multiplicity 4)  2 Cd 2.83-2.91, 2 Sb 2.88-2.90
Br 0.2812 0.4985 0.5393 (multiplicity 4)  3 Cd 2.75-3.02
Br 0.4878 0.2161 0.4920 (multiplicity 4)  2 Cd 2.68-2.78

raw total energy: -62.78 eV/cell

(25)
A relaxed structure of CdSbBr. Source: Alexandria via LeMat-Bulk, functional PBE.

Lattice parameters (Å, degrees): 4.2452 4.2452 11.6589 90.00 90.00 90.00
Closest atoms and distances in Å follow each position.
Space group I4mm (No. 107)
Unique sites:
Cd 0.0000 0.0000 0.0000 (multiplicity 2)  4 Sb 3.00, 1 Br 3.07
Sb 0.0000 0.0000 0.5102 (multiplicity 2)  1 Br 2.64
Br 0.0000 0.0000 0.7367 (multiplicity 2)  1 Sb 2.64

raw total energy: -14.12 eV/cell

(26)
A relaxed structure of CdSb2Br. Source: Alexandria via LeMat-Bulk, functional PBE.

Lattice parameters (Å, degrees): 7.4762 7.4762 7.4762 90.00 90.00 90.00
Closest atoms and distances in Å follow each position.
Space group Fm-3m (No. 225)
Unique sites:
Cd 0.0000 0.0000 0.0000 (multiplicity 4)  8 Sb 3.24
Sb 0.2500 0.2500 0.2500 (multiplicity 8)  4 Br 3.24, 4 Cd 3.24
Br 0.0000 0.0000 0.5000 (multiplicity 4)  8 Sb 3.24

raw total energy: -40.21 eV/cell

(27)
A relaxed structure of Cd4Sb3Br. Source: Alexandria via LeMat-Bulk, functional PBE.

Lattice parameters (Å, degrees): 7.5639 8.7864 8.1062 90.00 90.00 90.00
Closest atoms and distances in Å follow each position.
Space group Pmn2_1 (No. 31)
Unique sites:
Cd 0.0000 0.1504 0.0000 (multiplicity 2)  3 Sb 2.75-2.93, 1 Br 2.93
Cd 0.0000 0.8216 0.4409 (multiplicity 2)  3 Sb 2.79-2.91, 1 Br 3.05
Cd 0.2361 0.3433 0.4658 (multiplicity 4)  3 Sb 2.82-2.84, 1 Br 2.97
Sb 0.0000 0.1240 0.3378 (multiplicity 2)  4 Cd 2.75-2.82
Sb 0.2157 0.3687 0.8152 (multiplicity 4)  4 Cd 2.83-2.93
Br 0.0000 0.8644 0.8144 (multiplicity 2)  4 Cd 2.93-3.05

raw total energy: -36.74 eV/cell

Formation energy without anion corrections in eV per atom, matching the order above: -0.708 -0.046 -0.337 -0.604 -0.469 0.161 -0.283 -0.097 0.909 -0.102 0.473 0.064 -0.025 0.081 0.087 -0.589 -0.212 -0.567 0.176 -0.182 0.055 0.068 0.063 -0.379 -0.117 0.195 -0.084